1.
VASP calculation (meta-GGA SCAN) on a PBEsol-optimized structure of LaCuSi2.

Values from the calculation:
**Magnetic moment**: 0.0 μB/f.u.
**SG**: Imm2, No. 44
**Formation energy (no corrections)**: -29.5 kJ/mol of atoms
**DOS at the Fermi energy**: 1.60 states/eV/f.u.
**Crystal system**: orthorhombic

Unit cell a=3.7348 b=3.8587 c=6.0325 alpha=108.65 beta=108.03 gamma=90.00
Last column: nearest neighbours and their distance in Å.
Atoms (fractional coordinates):
Si: 0.0160 0.0160 0.0320  2 Si 2.42, 4 Cu 2.69
Si: 0.6587 0.1587 0.3174  2 Cu 2.34, 2 Si 2.42
La: 0.2891 0.7891 0.5782  6 Si 3.03-3.08, 4 Cu 3.29-3.31
Cu: 0.5362 0.5362 0.0724  2 Si 2.34



2.
VASP calculation (meta-GGA SCAN) on a PBEsol-optimized structure of TlSnIr2.

Values from the calculation:
**Magnetic moment**: 1.0 μB/f.u.
**SG**: Fm-3m, No. 225
**DOS at the Fermi energy**: 1.38 states/eV/f.u.
**Crystal system**: cubic
**E_tot**: -248.54 eV per cell

Unit cell a=4.6115 b=4.6115 c=4.6115 alpha=60.00 beta=60.00 gamma=60.00
Last column: nearest neighbours and their distance in Å.
Atoms (fractional coordinates):
Tl: 0.5000 0.5000 0.5000  8 Ir 2.82
Sn: 0.0000 0.0000 0.0000  8 Ir 2.82
Ir: 0.2500 0.2500 0.2500  4 Sn 2.82, 4 Tl 2.82
Ir: 0.7500 0.7500 0.7500  4 Tl 2.82, 4 Sn 2.82



3.
VASP calculation (meta-GGA SCAN) on a PBEsol-optimized structure of HgBiP2S.

Values from the calculation:
**Magnetic moment**: 0.0 μB/f.u.
**SG**: P4/mmm, No. 123
**Formation energy (no corrections)**: 101.9 kJ/mol of atoms
**DOS at the Fermi energy**: 4.25 states/eV/f.u.
**Crystal system**: tetragonal

Unit cell a=4.8847 b=4.8974 c=4.8974 alpha=90.00 beta=90.00 gamma=90.00
Last column: nearest neighbours and their distance in Å.
Atoms (fractional coordinates):
Bi: 0.5000 0.5000 0.5000  8 P 3.46, 4 S 3.46
P: 0.0000 0.5000 0.0000  2 Hg 2.45
P: 0.0000 0.0000 0.5000  2 Hg 2.45
Hg: 0.0000 0.0000 0.0000  2 S 2.44, 4 P 2.45
S: 0.5000 0.0000 0.0000  2 Hg 2.44



4.
VASP calculation (meta-GGA SCAN) on a PBEsol-optimized structure of Ca5Al2Sb6.

Values from the calculation:
**Magnetic moment**: 0.0 μB/f.u.
**SG**: Pbam, No. 55
**Formation energy (no corrections)**: -82.3 kJ/mol of atoms
**DOS at the Fermi energy**: 0.06 states/eV/f.u.
**Crystal system**: orthorhombic

Unit cell a=4.4468 b=11.9204 c=13.9061 alpha=90.00 beta=90.00 gamma=90.00
Last column: nearest neighbours and their distance in Å.
Atoms (fractional coordinates):
Sb: 0.0000 0.3375 0.6763  2 Al 2.71
Sb: 0.0000 0.6625 0.3237  2 Al 2.71
Sb: 0.5000 0.0272 0.6005  1 Al 2.81, 1 Sb 2.87
Sb: 0.5000 0.4728 0.1005  1 Al 2.81, 1 Sb 2.87
Sb: 0.5000 0.1552 0.9072  1 Al 2.68
Sb: 0.0000 0.1625 0.1763  2 Al 2.71
Sb: 0.5000 0.3448 0.4072  1 Al 2.68
Sb: 0.5000 0.8448 0.0928  1 Al 2.68
Sb: 0.5000 0.9728 0.3995  1 Al 2.81, 1 Sb 2.87
Sb: 0.5000 0.5272 0.8995  1 Al 2.81, 1 Sb 2.87
Sb: 0.5000 0.6552 0.5928  1 Al 2.68
Sb: 0.0000 0.8375 0.8237  2 Al 2.71
Al: 0.5000 0.8316 0.7127  4 Sb 2.68-2.81
Al: 0.5000 0.1684 0.2873  4 Sb 2.68-2.81
Al: 0.5000 0.6684 0.2127  4 Sb 2.68-2.81
Al: 0.5000 0.3316 0.7873  4 Sb 2.68-2.81
Ca: 0.0000 0.5915 0.7472  6 Sb 3.12-3.18
Ca: 0.0000 0.0000 0.0000  6 Sb 3.12-3.17
Ca: 0.0000 0.4085 0.2528  6 Sb 3.12-3.18
Ca: 0.0000 0.0915 0.7528  6 Sb 3.12-3.18
Ca: 0.0000 0.9085 0.2472  6 Sb 3.12-3.18
Ca: 0.0000 0.6721 0.0164  7 Sb 3.21-3.46, 2 Al 3.52
Ca: 0.0000 0.3279 0.9836  7 Sb 3.21-3.46, 2 Al 3.52
Ca: 0.0000 0.1721 0.4836  7 Sb 3.21-3.46, 2 Al 3.52
Ca: 0.0000 0.5000 0.5000  6 Sb 3.12-3.17
Ca: 0.0000 0.8279 0.5164  7 Sb 3.21-3.46, 2 Al 3.52



5.
VASP calculation (meta-GGA SCAN) on a PBEsol-optimized structure of WAuN2.

Values from the calculation:
**Magnetic moment**: 0.0 μB/f.u.
**SG**: R-3m, No. 166
**Formation energy (no corrections)**: -1.4 kJ/mol of atoms
**ΔE to the lowest computed polymorph**: 0.000 eV/atom
**DOS at the Fermi energy**: 1.11 states/eV/f.u.
**Crystal system**: trigonal

Unit cell a=2.9384 b=2.9384 c=6.7072 alpha=77.35 beta=77.35 gamma=60.00
Last column: nearest neighbours and their distance in Å.
Atoms (fractional coordinates):
N: 0.1058 0.1058 0.6826  1 Au 2.06, 3 W 2.07
N: 0.8942 0.8942 0.3174  1 Au 2.06, 3 W 2.07
Au: 0.0000 0.0000 0.0000  2 N 2.06
W: 0.5000 0.5000 0.5000  6 N 2.07



6.
VASP calculation (meta-GGA SCAN) on a PBEsol-optimized structure of GaNi.

Values from the calculation:
**Magnetic moment**: 0.0 μB/f.u.
**SG**: Pm-3m, No. 221
**DOS at the Fermi energy**: 0.80 states/eV/f.u.
**Crystal system**: cubic
**E_tot**: -33.24 eV per cell

Unit cell a=2.8720 b=2.8720 c=2.8720 alpha=90.00 beta=90.00 gamma=90.00
Last column: nearest neighbours and their distance in Å.
Atoms (fractional coordinates):
Ni: 0.5000 0.5000 0.5000  8 Ga 2.49
Ga: 0.0000 0.0000 0.0000  8 Ni 2.49



7.
VASP calculation (meta-GGA SCAN) on a PBEsol-optimized structure of AlSi3W2.

Values from the calculation:
**Magnetic moment**: 0.0 μB/f.u.
**SG**: P4mm, No. 99
**Formation energy (no corrections)**: -23.8 kJ/mol of atoms
**DOS at the Fermi energy**: 2.09 states/eV/f.u.
**Crystal system**: tetragonal

Unit cell a=3.2030 b=3.2030 c=8.0429 alpha=90.00 beta=90.00 gamma=90.00
Last column: nearest neighbours and their distance in Å.
Atoms (fractional coordinates):
Si: 0.5000 0.5000 0.8354  5 W 2.58-2.66, 4 Si 2.64, 1 Al 2.67
Si: 0.0000 0.0000 0.3367  5 W 2.64-2.80, 4 Al 2.64, 1 Si 2.66
Si: 0.0000 0.0000 0.6669  5 W 2.58-2.61, 5 Si 2.64-2.66
W: 0.0000 0.0000 0.9882  6 Si 2.58-2.80, 4 Al 2.69
W: 0.5000 0.5000 0.5047  9 Si 2.61-2.66, 1 Al 2.71
Al: 0.5000 0.5000 0.1680  5 Si 2.64-2.67, 5 W 2.69-2.71



8.
VASP calculation (meta-GGA SCAN) on a PBEsol-optimized structure of InPtCl2.

Values from the calculation:
**Magnetic moment**: 0.0 μB/f.u.
**SG**: Imm2, No. 44
**Formation energy (no corrections)**: -33.6 kJ/mol of atoms
**ΔE to the lowest computed polymorph**: 0.000 eV/atom
**DOS at the Fermi energy**: 0.89 states/eV/f.u.
**Crystal system**: orthorhombic

Unit cell a=3.2385 b=5.6678 c=5.6678 alpha=68.96 beta=73.40 gamma=73.40
Last column: nearest neighbours and their distance in Å.
Atoms (fractional coordinates):
Cl: 0.7921 0.7079 0.7079  2 In 2.52
Cl: 0.9533 0.0467 0.0467  2 Pt 2.45
In: 0.5117 0.4883 0.4883  2 Cl 2.52, 2 Pt 2.59
Pt: 0.2429 0.2571 0.2571  2 Cl 2.45, 2 In 2.59



9.
VASP calculation (meta-GGA SCAN) on a PBEsol-optimized structure of ScMn2Fe.

Values from the calculation:
**Magnetic moment**: 2.5 μB/f.u.
**SG**: C2/m, No. 12
**ΔE to the lowest computed polymorph**: 0.315 eV/atom
**DOS at the Fermi energy**: 3.46 states/eV/f.u.
**Crystal system**: monoclinic

Unit cell a=2.5544 b=4.6849 c=4.8094 alpha=115.93 beta=100.03 gamma=100.81
Last column: nearest neighbours and their distance in Å.
Atoms (fractional coordinates):
Fe: 0.0000 0.5000 0.0000  2 Sc 2.45, 4 Mn 2.52, 2 Fe 2.55
Mn: 0.0000 0.0000 0.5000  4 Mn 2.45-2.55, 2 Fe 2.52, 2 Sc 2.52
Mn: 0.5000 0.5000 0.5000  4 Mn 2.45-2.55, 2 Sc 2.52, 2 Fe 2.52
Sc: 0.5000 0.0000 0.0000  2 Fe 2.45, 4 Mn 2.52, 2 Sc 2.55



10.
VASP calculation (meta-GGA SCAN) on a PBEsol-optimized structure of TaRuW.

Values from the calculation:
**Magnetic moment**: 0.0 μB/f.u.
**SG**: F-43m, No. 216
**ΔE to the lowest computed polymorph**: 0.763 eV/atom
**DOS at the Fermi energy**: 4.01 states/eV/f.u.
**Crystal system**: cubic

Unit cell a=4.2639 b=4.2639 c=4.2639 alpha=60.00 beta=60.00 gamma=60.00
Last column: nearest neighbours and their distance in Å.
Atoms (fractional coordinates):
Ru: 0.0000 0.0000 0.0000  4 W 2.61
Ta: 0.5000 0.5000 0.5000  4 W 2.61
W: 0.2500 0.2500 0.2500  4 Ta 2.61, 4 Ru 2.61



11.
VASP calculation (meta-GGA SCAN) on a PBEsol-optimized structure of BeAgOs2.

Values from the calculation:
**Magnetic moment**: 0.0 μB/f.u.
**SG**: I4/mmm, No. 139
**DOS at the Fermi energy**: 3.95 states/eV/f.u.
**Crystal system**: tetragonal
**E_tot**: -176.52 eV per cell

Unit cell a=3.6702 b=3.6702 c=4.8208 alpha=112.37 beta=112.37 gamma=90.00
Last column: nearest neighbours and their distance in Å.
Atoms (fractional coordinates):
Os: 0.2500 0.7500 0.5000  4 Os 2.60, 4 Ag 2.74, 4 Be 2.74
Os: 0.7500 0.2500 0.5000  4 Os 2.60, 4 Be 2.74, 4 Ag 2.74
Be: 0.0000 0.0000 0.0000  4 Ag 2.60, 8 Os 2.74
Ag: 0.5000 0.5000 0.0000  4 Be 2.60, 8 Os 2.74



12.
VASP calculation (meta-GGA SCAN) on a PBEsol-optimized structure of Tl8Cd.

Values from the calculation:
**Magnetic moment**: 0.0 μB/f.u.
**SG**: I4/mmm, No. 139
**DOS at the Fermi energy**: 4.98 states/eV/f.u.
**Crystal system**: tetragonal
**E_tot**: -608.90 eV per cell

Unit cell a=4.7941 b=7.5418 c=7.5418 alpha=84.20 beta=71.47 gamma=71.47
Last column: nearest neighbours and their distance in Å.
Atoms (fractional coordinates):
Tl: 0.6703 0.3297 0.3297  1 Cd 3.33, 11 Tl 3.36-3.44
Tl: 0.6632 0.6736 0.0000  10 Tl 3.30-3.45, 2 Cd 3.35
Tl: 0.0000 0.6703 0.3297  1 Cd 3.33, 11 Tl 3.36-3.44
Tl: 0.3297 0.6703 0.6703  1 Cd 3.33, 11 Tl 3.36-3.44
Tl: 0.3368 0.0000 0.3264  10 Tl 3.30-3.45, 2 Cd 3.35
Tl: 0.0000 0.3297 0.6703  1 Cd 3.33, 11 Tl 3.36-3.44
Tl: 0.6632 0.0000 0.6736  10 Tl 3.30-3.45, 2 Cd 3.35
Tl: 0.3368 0.3264 0.0000  10 Tl 3.30-3.45, 2 Cd 3.35
Cd: 0.0000 0.0000 0.0000  12 Tl 3.33-3.35



13.
VASP calculation (meta-GGA SCAN) on a PBEsol-optimized structure of RbTaAgBr2.

Values from the calculation:
**Magnetic moment**: 0.0 μB/f.u.
**SG**: P4/mmm, No. 123
**Formation energy (no corrections)**: -11.8 kJ/mol of atoms
**DOS at the Fermi energy**: 3.25 states/eV/f.u.
**Crystal system**: tetragonal

Unit cell a=5.0700 b=5.0700 c=5.4339 alpha=90.00 beta=90.00 gamma=90.00
Last column: nearest neighbours and their distance in Å.
Atoms (fractional coordinates):
Rb: 0.5000 0.5000 0.5000  4 Ag 3.59, 8 Br 3.72
Ag: 0.0000 0.0000 0.5000  2 Ta 2.72
Br: 0.0000 0.5000 0.0000  2 Ta 2.54
Br: 0.5000 0.0000 0.0000  2 Ta 2.54
Ta: 0.0000 0.0000 0.0000  4 Br 2.54, 2 Ag 2.72



14.
VASP calculation (meta-GGA SCAN) on a PBEsol-optimized structure of YTe2.

Values from the calculation:
**Magnetic moment**: 0.0 μB/f.u.
**SG**: Cmcm, No. 63
**Formation energy (no corrections)**: -122.9 kJ/mol of atoms
**Crystal system**: orthorhombic

Unit cell a=4.3240 b=5.9104 c=7.9761 alpha=90.00 beta=105.73 gamma=90.00
Last column: nearest neighbours and their distance in Å.
Atoms (fractional coordinates):
Te: 0.3144 0.2500 0.6287  4 Y 2.96-3.07
Te: 0.9739 0.7500 0.9478  2 Te 3.06, 2 Y 3.11
Te: 0.0261 0.2500 0.0522  2 Te 3.06, 2 Y 3.11
Te: 0.6856 0.7500 0.3713  4 Y 2.96-3.07
Y: 0.3279 0.7500 0.6558  6 Te 2.96-3.11
Y: 0.6721 0.2500 0.3442  6 Te 2.96-3.11



15.
VASP calculation (meta-GGA SCAN) on a PBEsol-optimized structure of LiAl2TcP.

Values from the calculation:
**Magnetic moment**: 0.0 μB/f.u.
**SG**: P4/mmm, No. 123
**DOS at the Fermi energy**: 3.00 states/eV/f.u.
**Crystal system**: tetragonal
**E_tot**: -61.03 eV per cell

Unit cell a=4.3261 b=4.6562 c=4.6562 alpha=90.00 beta=90.00 gamma=90.00
Last column: nearest neighbours and their distance in Å.
Atoms (fractional coordinates):
Tc: 0.5000 0.0000 0.0000  2 P 2.16
P: 0.0000 0.0000 0.0000  2 Tc 2.16, 4 Al 2.33
Al: 0.0000 0.5000 0.0000  2 P 2.33
Al: 0.0000 0.0000 0.5000  2 P 2.33
Li: 0.5000 0.5000 0.5000  8 Al 3.18, 4 Tc 3.29



16.
VASP calculation (meta-GGA SCAN) on a PBEsol-optimized structure of KZnIn.

Values from the calculation:
**Magnetic moment**: 0.0 μB/f.u.
**SG**: F-43m, No. 216
**DOS at the Fermi energy**: 2.82 states/eV/f.u.
**Crystal system**: cubic
**E_tot**: -54.36 eV per cell

Unit cell a=5.1477 b=5.1477 c=5.1477 alpha=60.00 beta=60.00 gamma=60.00
Last column: nearest neighbours and their distance in Å.
Atoms (fractional coordinates):
Zn: 0.5000 0.5000 0.5000  4 In 3.15
In: 0.2500 0.2500 0.2500  4 Zn 3.15, 4 K 3.15
K: 0.0000 0.0000 0.0000  4 In 3.15



17.
VASP calculation (meta-GGA SCAN) on a PBEsol-optimized structure of K3Dy.

Values from the calculation:
**Magnetic moment**: 0.0 μB/f.u.
**SG**: I4/mmm, No. 139
**DOS at the Fermi energy**: 5.63 states/eV/f.u.
**Crystal system**: tetragonal
**E_tot**: -70.28 eV per cell

Unit cell a=5.7313 b=5.7313 c=7.5687 alpha=112.25 beta=112.25 gamma=90.00
Last column: nearest neighbours and their distance in Å.
Atoms (fractional coordinates):
Dy: 0.0000 0.0000 0.0000  12 K 4.05-4.29
K: 0.2500 0.7500 0.5000  8 K 4.05-4.29, 4 Dy 4.29
K: 0.5000 0.5000 0.0000  4 Dy 4.05, 8 K 4.29
K: 0.7500 0.2500 0.5000  8 K 4.05-4.29, 4 Dy 4.29



18.
VASP calculation (meta-GGA SCAN) on a PBEsol-optimized structure of Y2BiIr2.

Values from the calculation:
**Magnetic moment**: 0.0 μB/f.u.
**SG**: I4/mmm, No. 139
**DOS at the Fermi energy**: 3.82 states/eV/f.u.
**Crystal system**: tetragonal
**E_tot**: -279.29 eV per cell

Unit cell a=5.3954 b=5.5484 c=5.3954 alpha=119.09 beta=90.00 gamma=119.09
Last column: nearest neighbours and their distance in Å.
Atoms (fractional coordinates):
Ir: 0.6521 0.3042 0.6521  1 Ir 2.45
Ir: 0.3479 0.6958 0.3479  1 Ir 2.45
Y: 0.2500 0.5000 0.7500  4 Ir 2.81
Y: 0.7500 0.5000 0.2500  4 Ir 2.81
Bi: 0.0000 0.0000 0.0000  2 Ir 2.80



19.
VASP calculation (meta-GGA SCAN) on a PBEsol-optimized structure of CrCdFe2.

Values from the calculation:
**Magnetic moment**: 4.2 μB/f.u.
**SG**: Cmm2, No. 35
**DOS at the Fermi energy**: 2.72 states/eV/f.u.
**Crystal system**: orthorhombic
**E_tot**: -83.71 eV per cell

Unit cell a=2.5689 b=2.5689 c=8.3047 alpha=90.00 beta=90.00 gamma=108.10
Last column: nearest neighbours and their distance in Å.
Atoms (fractional coordinates):
Cr: 0.5000 0.5000 0.2185  2 Fe 2.36, 4 Cr 2.57
Fe: 0.0000 0.0000 0.0004  2 Cr 2.36, 6 Fe 2.38-2.57
Fe: 0.5000 0.5000 0.7788  6 Fe 2.38-2.57
Cd: 0.0000 0.0000 0.5022  4 Cd 2.57, 2 Fe 2.75, 2 Cr 2.80



20.
VASP calculation (meta-GGA SCAN) on a PBEsol-optimized structure of Mn3Cr3Sb2O16.

Values from the calculation:
**Magnetic moment**: 17.0 μB/f.u.
**SG**: Cm, No. 8
**Formation energy (no corrections)**: -192.2 kJ/mol of atoms
**DOS at the Fermi energy**: 5.35 states/eV/f.u.
**Crystal system**: monoclinic

Unit cell a=5.7359 b=5.7523 c=9.1851 alpha=90.98 beta=90.00 gamma=119.91
Last column: nearest neighbours and their distance in Å.
Atoms (fractional coordinates):
Mn: 0.1677 0.3355 0.2113  6 O 1.88-1.93
Mn: 0.8326 0.1688 0.7133  6 O 1.88-1.94
Mn: 0.3361 0.1688 0.7133  6 O 1.88-1.94
O: 0.0053 0.0106 0.8109  2 Mn 1.88, 1 Cr 1.93
O: 0.0022 0.0043 0.3051  1 Mn 1.88, 2 Cr 1.89
O: 0.3287 0.6574 0.1057  1 Mn 1.89, 2 Cr 1.91
O: 0.4795 0.5156 0.3339  1 Mn 1.91, 1 Cr 1.95, 1 Sb 2.05
O: 0.4834 0.9668 0.3415  2 Cr 1.93, 1 Sb 2.05
O: 0.1643 0.3285 0.6033  2 Mn 1.94, 1 Sb 2.00
O: 0.1638 0.8399 0.6018  1 Mn 1.92, 1 Cr 1.96, 1 Sb 1.98
O: 0.8360 0.1649 0.1010  1 Mn 1.93, 1 Cr 1.97, 1 Sb 1.97
O: 0.5181 0.0361 0.8329  2 Mn 1.92, 1 Sb 2.07
O: 0.5142 0.4781 0.8358  1 Mn 1.90, 1 Cr 1.94, 1 Sb 2.06
O: 0.6761 0.8399 0.6018  1 Mn 1.92, 1 Cr 1.96, 1 Sb 1.98
O: 0.3289 0.1649 0.1010  1 Mn 1.93, 1 Cr 1.97, 1 Sb 1.97
O: 0.8393 0.6786 0.1010  2 Cr 1.96, 1 Sb 1.96
O: 0.0360 0.5156 0.3339  1 Mn 1.91, 1 Cr 1.95, 1 Sb 2.05
O: 0.9639 0.4781 0.8358  1 Mn 1.90, 1 Cr 1.94, 1 Sb 2.06
O: 0.6622 0.3244 0.6094  2 Mn 1.89, 1 Cr 1.93
Sb: 0.6684 0.3368 0.9914  6 O 1.96-2.07
Sb: 0.3337 0.6674 0.4907  6 O 1.98-2.05
Cr: 0.1750 0.8338 0.2139  6 O 1.89-1.97
Cr: 0.6588 0.8338 0.2139  6 O 1.89-1.97
Cr: 0.8316 0.6631 0.7153  6 O 1.93-1.96